Density functional theory data (PBE) for a geometry-optimized PIrBr2 structure.

- E_form (uncorrected): 0.92 eV per atom
- Space-group type: No. 166
- Total moment: 0.00 μB/atom
- DOS at the Fermi energy: 3.85 states/eV/cell
- E above lowest polymorph: 1351 meV per atom

a b c (Å): 8.195 8.195 8.195
angles (deg): 26.53 26.53 26.53
Sites, in units of the cell vectors:
Br1 0.107 0.107 0.107
Br2 0.893 0.893 0.893
P1 0.000 0.000 0.000
Ir1 0.500 0.500 0.500


Density functional theory data (PBE) for a geometry-optimized LiLa2Ni2 structure.

- Space-group type: No. 65
- Total moment: 0.00 μB/atom
- DOS at the Fermi energy: 4.45 states/eV/cell
- E above lowest polymorph: 7 meV per atom
- ΔE_f: -233.0 meV/atom

a b c (Å): 3.877 4.032 7.810
angles (deg): 104.96 90.00 90.00
Sites, in units of the cell vectors:
La1 0.500 0.643 0.286
Li1 0.000 0.000 0.000
Ni1 0.000 0.800 0.599
Ni2 0.000 0.200 0.401
La2 0.500 0.357 0.714